1.
VASP calculation (PBE-GGA) on a geometry-optimized ScBePS2 structure.

Cell and atoms, written as CIF:
```
data_ScBePS2
_chemical_formula_sum 'Sc1 Be1 P1 S2'
_cell_length_a 4.823
_cell_length_b 4.823
_cell_length_c 5.049
_cell_angle_alpha 90.00
_cell_angle_beta 90.00
_cell_angle_gamma 90.00
_space_group_name_H-M_alt 'P 4/m m m'
_space_group_IT_number 123
_space_group_name_Hall '-P 4 2'
loop_
_atom_site_label
_atom_site_type_symbol
_atom_site_fract_x
_atom_site_fract_y
_atom_site_fract_z
_atom_site_occupancy
Sc1 Sc 0.000 0.000 0.000 1
Be1 Be 0.500 0.500 0.500 1
P1 P 0.000 0.000 0.500 1
S1 S 0.000 0.500 0.000 1
```

Computed properties:
**Calculated density**: 2.11 g/cm3
**Magnetization**: 0.006 μB/atom
**Distance to the lowest polymorph of the same formula**: 0.681 eV/atom
**Volume**: 117.5 Å³/cell
**Crystal system**: tetragonal
**Uncorrected formation energy**: 440 meV/atom
**Calculated total energy**: -21.52 eV per cell
**DOS at the Fermi energy**: 6.01 states/eV per cell

***

2.
VASP calculation (PBE-GGA) on a geometry-optimized ScBeP2S structure.

Cell and atoms, written as CIF:
```
data_ScBeP2S
_chemical_formula_sum 'Sc1 Be1 P2 S1'
_cell_length_a 4.939
_cell_length_b 4.939
_cell_length_c 4.801
_cell_angle_alpha 90.00
_cell_angle_beta 90.00
_cell_angle_gamma 90.00
_space_group_name_H-M_alt 'P 4/m m m'
_space_group_IT_number 123
_space_group_name_Hall '-P 4 2'
loop_
_atom_site_label
_atom_site_type_symbol
_atom_site_fract_x
_atom_site_fract_y
_atom_site_fract_z
_atom_site_occupancy
Sc1 Sc 0.000 0.000 0.000 1
Be1 Be 0.500 0.500 0.500 1
P1 P 0.000 0.500 0.000 1
S1 S 0.000 0.000 0.500 1
```

Computed properties:
**Calculated density**: 2.10 g/cm3
**Magnetization**: 0.000 μB/atom
**Distance to the lowest polymorph of the same formula**: 0.814 eV/atom
**Volume**: 117.1 Å³/cell
**Crystal system**: tetragonal
**Uncorrected formation energy**: 721 meV/atom
**Calculated total energy**: -21.40 eV per cell
**DOS at the Fermi energy**: 5.21 states/eV per cell

***

3.
VASP calculation (PBE-GGA) on a geometry-optimized ScBePS2 structure.

Cell and atoms, written as CIF:
```
data_ScBePS2
_chemical_formula_sum 'Sc1 Be1 P1 S2'
_cell_length_a 4.488
_cell_length_b 4.488
_cell_length_c 4.104
_cell_angle_alpha 90.00
_cell_angle_beta 90.00
_cell_angle_gamma 90.00
_space_group_name_H-M_alt 'P 4/m m m'
_space_group_IT_number 123
_space_group_name_Hall '-P 4 2'
loop_
_atom_site_label
_atom_site_type_symbol
_atom_site_fract_x
_atom_site_fract_y
_atom_site_fract_z
_atom_site_occupancy
Sc1 Sc 0.000 0.000 0.000 1
Be1 Be 0.500 0.500 0.500 1
P1 P 0.500 0.500 0.000 1
S1 S 0.000 0.500 0.500 1
```

Computed properties:
**Calculated density**: 2.99 g/cm3
**Magnetization**: 0.000 μB/atom
**Distance to the lowest polymorph of the same formula**: 0.000 eV/atom
**Volume**: 82.7 Å³/cell
**Crystal system**: tetragonal
**Uncorrected formation energy**: -241 meV/atom
**Calculated total energy**: -24.93 eV per cell
**DOS at the Fermi energy**: 3.96 states/eV per cell

***

4.
VASP calculation (PBE-GGA) on a geometry-optimized ScBeP2S structure.

Cell and atoms, written as CIF:
```
data_ScBeP2S
_chemical_formula_sum 'Sc1 Be1 P2 S1'
_cell_length_a 4.015
_cell_length_b 4.015
_cell_length_c 5.251
_cell_angle_alpha 90.00
_cell_angle_beta 90.00
_cell_angle_gamma 90.00
_space_group_name_H-M_alt 'P 4/m m m'
_space_group_IT_number 123
_space_group_name_Hall '-P 4 2'
loop_
_atom_site_label
_atom_site_type_symbol
_atom_site_fract_x
_atom_site_fract_y
_atom_site_fract_z
_atom_site_occupancy
Sc1 Sc 0.000 0.000 0.000 1
Be1 Be 0.500 0.500 0.500 1
P1 P 0.000 0.500 0.500 1
S1 S 0.500 0.500 0.000 1
```

Computed properties:
**Calculated density**: 2.90 g/cm3
**Magnetization**: 0.000 μB/atom
**Distance to the lowest polymorph of the same formula**: 0.000 eV/atom
**Volume**: 84.6 Å³/cell
**Crystal system**: tetragonal
**Uncorrected formation energy**: -93 meV/atom
**Calculated total energy**: -25.47 eV per cell
**DOS at the Fermi energy**: 2.92 states/eV per cell

***

Q: What is the uncorrected formation energy in the fourth record?
A: -93 meV/atom